The following is a PBE-GGA calculation of a geometry-optimized SnGeBr2F structure, from the Alexandria database.

a = 5.389 Å, b = 5.389 Å, c = 5.731 Å
α = 90.00°, β = 90.00°, γ = 90.00°
Element x y z (fractional)
Sn 0.000 0.000 0.000
Ge 0.000 0.000 0.500
Br 0.000 0.500 0.000
Br 0.500 0.000 0.000
F 0.500 0.500 0.500

## Properties
- raw formation energy (meV/atom) = -76
- E above lowest polymorph (eV per formula unit) = 3.11
- E (eV/atom) = -2.844
- total magnetization (μB per formula unit) = 0.0


The following is a PBE-GGA calculation of a geometry-optimized ZnGeBrF2 structure, from the Alexandria database.

a = 3.980 Å, b = 3.980 Å, c = 6.018 Å
α = 90.00°, β = 90.00°, γ = 90.00°
Element x y z (fractional)
Zn 0.000 0.000 0.000
Ge 0.000 0.000 0.500
Br 0.500 0.500 0.500
F 0.000 0.500 0.000
F 0.500 0.000 0.000

## Properties
- raw formation energy (meV/atom) = -1105
- E (eV/atom) = -3.367
- total magnetization (μB per formula unit) = 1.0


The following is a PBE-GGA calculation of a geometry-optimized H2Br2F structure, from the Alexandria database.

a = 7.763 Å, b = 7.763 Å, c = 3.249 Å
α = 90.00°, β = 90.00°, γ = 90.00°
Element x y z (fractional)
H 0.241 0.259 0.000
H 0.259 0.759 0.000
H 0.741 0.241 0.000
H 0.759 0.741 0.000
Br 0.207 0.707 0.500
Br 0.293 0.207 0.500
Br 0.707 0.793 0.500
Br 0.793 0.293 0.500
F 0.000 0.000 0.500
F 0.500 0.500 0.500

## Properties
- E above lowest polymorph (eV per formula unit) = 0.00
- E (eV/atom) = -2.368
- total magnetization (μB per formula unit) = 1.0


The following is a PBE-GGA calculation of a geometry-optimized H3BrF8 structure, from the Alexandria database.

a = 5.922 Å, b = 5.922 Å, c = 8.631 Å
α = 90.00°, β = 90.00°, γ = 120.00°
Element x y z (fractional)
H 0.091 0.182 0.000
H 0.091 0.909 0.000
H 0.182 0.091 0.500
H 0.818 0.909 0.000
H 0.909 0.091 0.500
H 0.909 0.818 0.500
Br 0.333 0.667 0.289
Br 0.667 0.333 0.789
F 0.000 0.000 0.250
F 0.000 0.000 0.750
F 0.016 0.508 0.770
F 0.130 0.259 0.501
F 0.130 0.870 0.501
F 0.259 0.130 0.001
F 0.333 0.667 0.070
F 0.492 0.508 0.770
F 0.492 0.984 0.770
F 0.508 0.016 0.270
F 0.508 0.492 0.270
F 0.667 0.333 0.570
F 0.741 0.870 0.501
F 0.870 0.130 0.001
F 0.870 0.741 0.001
F 0.984 0.492 0.270

## Properties
- E (eV/atom) = -3.129
- total magnetization (μB per formula unit) = 0.4